Entry 1:
{
  "formula": "Dy2ErSn",
  "functional": "PBE",
  "state": "optimized geometry",
  "e_form_ev_per_fu": 0.18,
  "space_group": "R-3m (166)",
  "magmom_total_mub_per_atom": 0.000,
  "cell": [[3.4937, 0.0000, 0.0000], [1.7468, 3.0256, 0.0000], [1.7468, 1.0085, 11.8782]],
  "species": ["Dy", "Sn", "Er", "Dy"],
  "frac_coords": [[0.9126, 0.9126, 0.2623], [0.0000, 0.0000, 0.0000], [0.5000, 0.5000, 0.5000], [0.0874, 0.0874, 0.7377]]
}



Entry 2:
{
  "formula": "Dy2ErSn",
  "functional": "PBE",
  "state": "optimized geometry",
  "e_form_ev_per_fu": -1.21,
  "space_group": "P4/mmm (123)",
  "magmom_total_mub_per_atom": 0.000,
  "cell": [[-2.6029, 1.6068, 1.7677], [1.3846, -1.1156, 3.0528], [5.1649, 7.8057, 0.5098]],
  "species": ["Er", "Dy", "Sn", "Dy"],
  "frac_coords": [[0.5000, 0.5000, 0.5000], [0.0000, 0.0000, 0.2290], [0.5000, 0.5000, 0.0000], [0.0000, 0.0000, 0.7710]]
}



Entry 3:
{
  "formula": "DyErSnTe",
  "functional": "PBE",
  "state": "optimized geometry",
  "formation_energy_uncorrected_ev_per_atom": -1.02,
  "space_group": "R3m (160)",
  "magmom_total_mub_per_atom": 0.000,
  "cell": [[-1.6318, 2.3952, 3.2740], [-2.0017, -1.9608, 3.3566], [5.0586, -0.3219, 5.6766]],
  "species": ["Te", "Dy", "Er", "Sn"],
  "frac_coords": [[0.1949, 0.1949, 0.4154], [0.4395, 0.4395, 0.6816], [0.9487, 0.9487, 0.1539], [0.6934, 0.6934, 0.9199]]
}



Entry 4:
{
  "formula": "DyErTlSn",
  "functional": "PBE",
  "state": "optimized geometry",
  "e_form_ev_per_fu": -1.74,
  "space_group": "F-43m (216)",
  "magmom_total_mub_per_atom": 0.000,
  "cell": [[-0.7236, 4.3613, -2.9899], [-4.6111, 2.6751, 0.2547], [-0.1690, 4.8136, 2.2989]],
  "species": ["Sn", "Dy", "Tl", "Er"],
  "frac_coords": [[0.2500, 0.2500, 0.2500], [0.0000, 0.0000, 0.0000], [0.7500, 0.7500, 0.7500], [0.5000, 0.5000, 0.5000]]
}



Entry 5:
{
  "formula": "DyErZnSn",
  "functional": "PBE",
  "state": "optimized geometry",
  "e_form_ev_per_fu": -1.95,
  "space_group": "F-43m (216)",
  "magmom_total_mub_per_atom": 0.000,
  "cell": [[5.1603, 0.0000, 0.0000], [2.5801, 4.4689, 0.0000], [2.5801, 1.4896, 4.2133]],
  "species": ["Dy", "Sn", "Zn", "Er"],
  "frac_coords": [[0.0000, 0.0000, 0.0000], [0.2500, 0.2500, 0.2500], [0.7500, 0.7500, 0.7500], [0.5000, 0.5000, 0.5000]]
}



Entry 6:
{
  "formula": "SrDyEr2",
  "functional": "PBE",
  "state": "optimized geometry",
  "e_form_ev_per_fu": 0.94,
  "space_group": "R-3m (166)",
  "magmom_total_mub_per_atom": 0.000,
  "cell": [[-3.3496, 0.9520, -0.8348], [-1.0385, 0.0765, -3.4262], [-5.1166, -11.7792, -0.5834]],
  "species": ["Er", "Er", "Dy", "Sr"],
  "frac_coords": [[0.9068, 0.9068, 0.2797], [0.0932, 0.0932, 0.7203], [0.5000, 0.5000, 0.5000], [0.0000, 0.0000, 0.0000]]
}



Entry 7:
{
  "formula": "SrDyEr2",
  "functional": "PBE",
  "state": "optimized geometry",
  "e_form_ev_per_fu": 0.54,
  "space_group": "P4/mmm (123)",
  "magmom_total_mub_per_atom": 0.000,
  "cell": [[-1.4461, -1.9292, -2.7470], [-2.5255, -1.3451, 2.2741], [-6.3630, 8.0507, -2.3044]],
  "species": ["Sr", "Dy", "Er", "Er"],
  "frac_coords": [[0.5000, 0.5000, 0.5000], [0.5000, 0.5000, 0.0000], [0.0000, 0.0000, 0.7803], [0.0000, 0.0000, 0.2197]]
}



Entry 8:
{
  "formula": "SrDy2Er",
  "functional": "PBE",
  "state": "optimized geometry",
  "e_form_ev_per_fu": 0.90,
  "space_group": "R-3m (166)",
  "magmom_total_mub_per_atom": 0.000,
  "cell": [[-3.0480, 1.8795, -0.2447], [-2.2950, -0.6441, -2.6834], [-7.7196, -8.2858, 6.1906]],
  "species": ["Dy", "Er", "Sr", "Dy"],
  "frac_coords": [[0.0935, 0.0935, 0.7194], [0.5000, 0.5000, 0.5000], [0.0000, 0.0000, 0.0000], [0.9065, 0.9065, 0.2806]]
}



| no. | E (eV per cell) |
| --- | --- |
| 1 | -17.591 |
| 2 | -18.977 |
| 3 | -20.384 |
| 4 | -17.269 |
| 5 | -16.392 |
| 6 | -14.466 |
| 7 | -14.870 |
| 8 | -14.544 |